Here is a relaxed structure of Li5Y4 from the Alexandria database. Energies are from PBE.

Calculated values
The calculation puts the formation energy at 0.219 eV/atom.

```
Li5Y4
1.0
9.2436 0.0000 0.0000
-4.6218 8.0052 0.0000
0.0000 0.0000 6.3645
Li Y
10 8
direct
0.0000 0.3290 0.2500 Li
0.0000 0.6710 0.7500 Li
0.3290 0.0000 0.2500 Li
0.3290 0.3290 0.7500 Li
0.3333 0.6667 0.0000 Li
0.3333 0.6667 0.5000 Li
0.6667 0.3333 0.0000 Li
0.6667 0.3333 0.5000 Li
0.6710 0.0000 0.7500 Li
0.6710 0.6710 0.2500 Li
0.0000 0.0000 0.0000 Y
0.0000 0.0000 0.5000 Y
0.0000 0.3405 0.7500 Y
0.0000 0.6595 0.2500 Y
0.3405 0.0000 0.7500 Y
0.3405 0.3405 0.2500 Y
0.6595 0.0000 0.2500 Y
0.6595 0.6595 0.7500 Y
```

Here is a relaxed structure of Na3ZrSi from the Alexandria database. Energies are from PBE.

Calculated values
The calculation puts the raw formation energy at 23.03 kcal/mol of atoms.

```
Na3ZrSi
1.0
5.4065 0.0000 0.0000
0.0000 5.4065 0.0000
0.0000 0.0000 5.4065
Na Zr Si
3 1 1
direct
0.0000 0.0000 0.5000 Na
0.0000 0.5000 0.0000 Na
0.5000 0.0000 0.0000 Na
0.5000 0.5000 0.5000 Zr
0.0000 0.0000 0.0000 Si
```

Number 1: total DFT energy (no corrections) -3.717 eV/atom, energy above the most stable polymorph in this dataset 1.168 kcal/mol of atoms. Number 2: total DFT energy (no corrections) -2.587 eV/atom, energy above the most stable polymorph in this dataset 0.000 kcal/mol of atoms.